[1]
TmScTlGa | GGA-PBE | relaxed

Lattice parameters (Å, degrees): 5.0560 5.0560 5.0560 60.00 60.00 60.00
With the nearest neighbours (Å) after each atom.
Fractional coordinates of all 4 atoms:
Tm  0.0000  0.0000  0.0000  4 Tl 3.10, 4 Ga 3.10
Ga  0.2500  0.2500  0.2500  4 Sc 3.10, 4 Tm 3.10
Sc  0.5000  0.5000  0.5000  4 Ga 3.10, 4 Tl 3.10
Tl  0.7500  0.7500  0.7500  4 Sc 3.10, 4 Tm 3.10

Output
For the total magnetization, the calculation gives 0.000 μB/atom. The energy above the most stable polymorph in this dataset comes out at 0.0324 eV/atom. For the formation energy, the calculation gives -1.5 eV per formula unit.

[2]
CeTm2Au | GGA-PBE | relaxed

Lattice parameters (Å, degrees): 3.5725 3.5725 10.2076 79.92 79.92 60.00
With the nearest neighbours (Å) after each atom.
Fractional coordinates of all 4 atoms:
Tm  0.7377  0.7377  0.7868  3 Au 2.97
Tm  0.2623  0.2623  0.2132  3 Au 2.97
Au  0.0000  0.0000  0.0000  6 Tm 2.97
Ce  0.5000  0.5000  0.5000  6 Tm 3.53, 6 Ce 3.57

Output
For the total magnetization, the calculation gives 0.261 μB/atom. The energy above the most stable polymorph in this dataset comes out at 0.1414 eV/atom. For the formation energy, the calculation gives -1.0 eV per formula unit.

[3]
B3MoSe | GGA-PBE | relaxed

Lattice parameters (Å, degrees): 3.9897 3.9897 3.9897 90.00 90.00 90.00
With the nearest neighbours (Å) after each atom.
Fractional coordinates of all 5 atoms:
Mo  0.5000  0.5000  0.5000  12 B 2.82
Se  0.0000  0.0000  0.0000  6 B 1.99
B  0.0000  0.5000  0.0000  2 Se 1.99
B  0.0000  0.0000  0.5000  2 Se 1.99
B  0.5000  0.0000  0.0000  2 Se 1.99

Output
For the total magnetization, the calculation gives 0.001 μB/atom. The value obtained for the energy relative to the elements, uncorrected is 2.203 eV per atom. The energy above the most stable polymorph in this dataset comes out at 0.4738 eV/atom.

[4]
CoAgAs2 | GGA-PBE | relaxed

Lattice parameters (Å, degrees): 2.9005 2.9215 7.9451 89.95 90.00 90.00
With the nearest neighbours (Å) after each atom.
Fractional coordinates of all 4 atoms:
Ag  0.5000  0.7500  0.7500  4 As 2.90, 4 Ag 2.90-2.92
As  0.0000  0.7503  0.0662  4 Co 2.52
As  0.0000  0.7497  0.4338  4 Co 2.52
Co  0.5000  0.2500  0.2500  8 As 2.52

Output
For the total magnetization, the calculation gives 0.000 μB/atom. The energy above the most stable polymorph in this dataset comes out at 0.0303 eV/atom. For the formation energy, the calculation gives 0.2 eV per formula unit.

[5]
PaVCoSi2 | GGA-PBE | relaxed

Lattice parameters (Å, degrees): 4.0202 4.0202 5.7006 110.65 110.65 90.00
With the nearest neighbours (Å) after each atom.
Fractional coordinates of all 5 atoms:
Si  0.3789  0.3789  0.7578  2 Co 2.38, 2 V 2.38, 1 Si 2.39
Si  0.6211  0.6211  0.2422  2 Co 2.38, 2 V 2.38, 1 Si 2.39
V  0.7500  0.2500  0.5000  4 Si 2.38
Co  0.2500  0.7500  0.5000  4 Si 2.38
Pa  0.0000  0.0000  0.0000  8 Si 3.08, 4 Co 3.19, 4 V 3.19

Output
For the total magnetization, the calculation gives 0.469 μB/atom. The value obtained for the energy relative to the elements, uncorrected is -0.557 eV per atom.

[6]
Pr9Al2Cd | GGA-PBE | relaxed

Lattice parameters (Å, degrees): 4.9657 4.9657 14.8747 90.00 90.00 90.00
With the nearest neighbours (Å) after each atom.
Fractional coordinates of all 12 atoms:
Pr  0.5000  0.0000  0.8280  2 Al 3.46, 8 Pr 3.47-3.57, 2 Cd 3.57
Pr  0.5000  0.5000  0.3348  8 Pr 3.47-3.49, 4 Al 3.51
Pr  0.0000  0.5000  0.1720  2 Al 3.46, 8 Pr 3.47-3.57, 2 Cd 3.57
Pr  0.0000  0.5000  0.5000  8 Pr 3.49-3.51, 4 Al 3.51
Pr  0.5000  0.0000  0.5000  8 Pr 3.49-3.51, 4 Al 3.51
Pr  0.0000  0.5000  0.8280  2 Al 3.46, 8 Pr 3.47-3.57, 2 Cd 3.57
Pr  0.5000  0.5000  0.6652  8 Pr 3.47-3.49, 4 Al 3.51
Pr  0.5000  0.0000  0.1720  2 Al 3.46, 8 Pr 3.47-3.57, 2 Cd 3.57
Pr  0.5000  0.5000  0.0000  4 Cd 3.51, 8 Pr 3.57
Cd  0.0000  0.0000  0.0000  12 Pr 3.51-3.57
Al  0.0000  0.0000  0.6664  12 Pr 3.46-3.51
Al  0.0000  0.0000  0.3336  12 Pr 3.46-3.51

Output
For the total magnetization, the calculation gives 0.000 μB/atom. For the formation energy, the calculation gives -1.8 eV per formula unit.

[7]
Ho2U2Ni15 | GGA-PBE | relaxed

Lattice parameters (Å, degrees): 6.4453 6.4453 6.4453 81.51 81.51 81.51
With the nearest neighbours (Å) after each atom.
Fractional coordinates of all 19 atoms:
Ni  0.3429  0.8380  0.3429  8 Ni 2.41-2.59, 1 U 2.64
Ni  0.3159  0.6841  0.0000  8 Ni 2.50-2.66
Ni  0.6841  0.0000  0.3159  8 Ni 2.50-2.66
Ni  0.3429  0.3429  0.8380  8 Ni 2.41-2.59, 1 U 2.64
Ni  0.0000  0.6841  0.3159  8 Ni 2.50-2.66
Ni  0.0000  0.3159  0.6841  8 Ni 2.50-2.66
Ni  0.3159  0.0000  0.6841  8 Ni 2.50-2.66
Ni  0.0000  0.5000  0.0000  8 Ni 2.44-2.50, 2 U 2.58
Ni  0.1620  0.6571  0.6571  8 Ni 2.41-2.59, 1 U 2.64
Ni  0.0000  0.0000  0.5000  8 Ni 2.44-2.50, 2 U 2.58
Ni  0.6571  0.6571  0.1620  8 Ni 2.41-2.59, 1 U 2.64
Ni  0.5000  0.0000  0.0000  8 Ni 2.44-2.50, 2 U 2.58
Ni  0.6571  0.1620  0.6571  8 Ni 2.41-2.59, 1 U 2.64
Ni  0.8380  0.3429  0.3429  8 Ni 2.41-2.59, 1 U 2.64
Ni  0.6841  0.3159  0.0000  8 Ni 2.50-2.66
U  0.0975  0.0975  0.0975  1 U 2.48, 6 Ni 2.58-2.64
U  0.9025  0.9025  0.9025  1 U 2.48, 6 Ni 2.58-2.64
Ho  0.6405  0.6405  0.6405  12 Ni 2.90-3.06
Ho  0.3595  0.3595  0.3595  12 Ni 2.90-3.06

Output
For the total magnetization, the calculation gives 0.112 μB/atom. For the formation energy, the calculation gives -5.0 eV per formula unit.

[8]
Y3U2C4 | GGA-PBE | relaxed

Lattice parameters (Å, degrees): 3.6778 6.1923 7.6928 87.35 76.17 72.72
With the nearest neighbours (Å) after each atom.
Fractional coordinates of all 9 atoms:
C  0.4283  0.2704  0.8730  1 U 2.26, 2 Y 2.51
C  0.5717  0.7296  0.1270  1 U 2.26, 2 Y 2.51
C  0.2356  0.8325  0.6963  3 U 2.38-2.41, 3 Y 2.45-2.65
C  0.7644  0.1675  0.3037  3 U 2.38-2.41, 3 Y 2.45-2.65
U  0.3389  0.9362  0.3860  4 C 2.26-2.41
U  0.6611  0.0638  0.6140  4 C 2.26-2.41
Y  0.1702  0.4593  0.2003  5 C 2.51-2.66
Y  0.8298  0.5407  0.7997  5 C 2.51-2.66
Y  0.0000  0.0000  0.0000  6 C 2.45-2.63

Output
For the total magnetization, the calculation gives 0.084 μB/atom. For the formation energy, the calculation gives -1.6 eV per formula unit.

[9]
Ba3Ge2As4 | GGA-PBE | relaxed

Lattice parameters (Å, degrees): 8.2438 9.0410 9.1125 119.74 90.25 90.00
With the nearest neighbours (Å) after each atom.
Fractional coordinates of all 18 atoms:
Ba  0.8860  0.2318  0.2653  6 As 3.27-3.49
Ba  0.2500  0.4802  0.0000  6 As 3.29-3.51
Ba  0.3860  0.0334  0.2653  6 As 3.27-3.49
Ba  0.6140  0.9666  0.7347  6 As 3.27-3.49
Ba  0.7500  0.5198  0.0000  6 As 3.29-3.51
Ba  0.1140  0.7682  0.7347  6 As 3.27-3.49
As  0.6771  0.2216  0.5741  2 Ge 2.52-2.73
As  0.8229  0.6476  0.4259  2 Ge 2.52-2.73
As  0.3229  0.7784  0.4259  2 Ge 2.52-2.73
As  0.1771  0.3524  0.5741  2 Ge 2.52-2.73
As  0.5138  0.2777  0.1084  1 Ge 2.40
As  0.0138  0.8307  0.1084  1 Ge 2.40
As  0.4862  0.7223  0.8916  1 Ge 2.40
As  0.9862  0.1693  0.8916  1 Ge 2.40
Ge  0.5085  0.5362  0.3758  2 As 2.40-2.52, 1 Ge 2.65
Ge  0.0085  0.8395  0.3758  2 As 2.40-2.52, 1 Ge 2.65
Ge  0.4915  0.4638  0.6242  2 As 2.40-2.52, 1 Ge 2.65
Ge  0.9915  0.1605  0.6242  2 As 2.40-2.52, 1 Ge 2.65

Output
For the total magnetization, the calculation gives 0.000 μB/atom. The energy above the most stable polymorph in this dataset comes out at 0.0000 eV/atom. For the formation energy, the calculation gives -6.4 eV per formula unit.

[10]
InAsO2 | GGA-PBE | relaxed

Lattice parameters (Å, degrees): 4.2034 4.2034 4.2034 60.00 60.00 60.00
With the nearest neighbours (Å) after each atom.
Fractional coordinates of all 4 atoms:
O  0.2500  0.2500  0.2500  4 As 2.57, 4 In 2.57
O  0.7500  0.7500  0.7500  4 In 2.57, 4 As 2.57
As  0.0000  0.0000  0.0000  8 O 2.57
In  0.5000  0.5000  0.5000  8 O 2.57

Output
For the total magnetization, the calculation gives 0.000 μB/atom. The value obtained for the energy relative to the elements, uncorrected is -0.109 eV per atom. The energy above the most stable polymorph in this dataset comes out at 0.9269 eV/atom.

[11]
Rb5Pt | GGA-PBE | relaxed

Lattice parameters (Å, degrees): 4.4168 4.4168 19.3552 90.00 90.00 90.00
With the nearest neighbours (Å) after each atom.
Fractional coordinates of all 6 atoms:
Rb  0.5000  0.5000  0.7072  4 Rb 4.42
Rb  0.0000  0.0000  0.0865  1 Rb 3.35, 4 Pt 3.54
Rb  0.0000  0.0000  0.9135  1 Rb 3.35, 4 Pt 3.54
Rb  0.0000  0.0000  0.5000  4 Rb 4.42
Rb  0.5000  0.5000  0.2928  4 Rb 4.42
Pt  0.5000  0.5000  0.0000  8 Rb 3.54

Output
For the total magnetization, the calculation gives 0.027 μB/atom. The energy above the most stable polymorph in this dataset comes out at 0.0422 eV/atom. For the formation energy, the calculation gives 0.8 eV per formula unit.